# 1
First-principles (GGA-PBE) data for a relaxed Y2ZrSc2 crystal, as listed in Alexandria via LeMat-Bulk.

POSCAR file:
```
Y2ZrSc2
1.0
-6.944 3.723 3.829
1.917 -4.125 7.487
2.005 2.724 0.988
Y Sc Zr
4 4 2
Cartesian
1.078 -0.771 6.224
-2.108 0.476 9.254
-4.101 3.093 6.080
-0.915 1.846 3.050
-0.932 -2.214 7.999
-4.887 0.687 8.026
-4.096 1.812 3.318
-0.140 -1.090 3.290
0.000 0.000 0.000
-2.514 -0.201 5.658
```

Output
The crystal system is tetragonal. Its mass density is 4.41 g/cm3. For the formation enthalpy at 0 K, the calculation gives 230 meV per atom.

# 2
First-principles (GGA-PBE) data for a relaxed Ga4CoNi15 crystal, as listed in Alexandria via LeMat-Bulk.

POSCAR file:
```
Ga4CoNi15
1.0
3.563 0.000 0.000
0.000 3.563 0.000
0.000 0.000 17.832
Ga Co Ni
4 1 15
Cartesian
0.000 0.000 3.544
0.000 0.000 7.124
0.000 0.000 10.707
0.000 0.000 14.288
0.000 0.000 0.000
1.782 1.782 0.000
1.782 1.782 3.523
1.782 1.782 7.111
1.782 1.782 10.721
1.782 1.782 14.309
1.782 0.000 1.715
1.782 0.000 5.320
1.782 0.000 8.916
1.782 0.000 12.512
1.782 0.000 16.117
0.000 1.782 1.715
0.000 1.782 5.320
0.000 1.782 8.916
0.000 1.782 12.512
0.000 1.782 16.117
```

Output
The crystal system is tetragonal. Its mass density is 8.93 g/cm3. For the formation enthalpy at 0 K, the calculation gives -227 meV per atom.

# 3
First-principles (GGA-PBE) data for a relaxed NbAg2Cl6 crystal, as listed in Alexandria via LeMat-Bulk.

POSCAR file:
```
NbAg2Cl6
1.0
6.219 0.000 0.000
0.000 6.219 0.000
0.000 0.000 12.008
Nb Ag Cl
2 4 12
Cartesian
3.110 3.110 0.000
0.000 0.000 6.004
3.110 3.110 4.021
3.110 3.110 7.987
0.000 0.000 1.983
0.000 0.000 10.025
4.294 4.294 1.800
4.294 4.294 10.208
4.514 4.514 6.004
4.814 1.405 0.000
5.035 1.184 4.204
5.035 1.184 7.804
1.184 5.035 4.204
1.184 5.035 7.804
1.405 4.814 0.000
1.705 1.705 6.004
1.925 1.925 1.800
1.925 1.925 10.208
```

Output
The crystal system is tetragonal. Its mass density is 3.73 g/cm3. The polymorph energy (0 for the lowest one) is 4 meV per atom.

# 4
First-principles (GGA-PBE) data for a relaxed Rb2LaTiI6 crystal, as listed in Alexandria via LeMat-Bulk.

POSCAR file:
```
Rb2LaTiI6
1.0
8.568 0.000 0.000
0.000 8.568 0.000
4.284 4.284 6.059
I Ti Rb La
6 1 2 1
Cartesian
4.284 4.284 2.908
8.568 8.568 3.150
2.228 2.228 0.000
6.340 6.340 0.000
6.340 2.228 0.000
2.228 6.340 0.000
4.284 4.284 0.000
8.568 4.284 3.029
4.284 8.568 3.029
0.000 0.000 0.000
```

Output
The crystal system is cubic. Its mass density is 4.18 g/cm3. The raw total energy comes out at -3.5520 eV per atom.

# 5
First-principles (GGA-PBE) data for a relaxed Ba2Sb2Te crystal, as listed in Alexandria via LeMat-Bulk.

POSCAR file:
```
Ba2Sb2Te
1.0
-3.907 4.648 -6.532
-8.013 -2.051 3.334
0.128 3.990 2.763
Sb Te Ba
4 2 4
Cartesian
-8.653 -0.013 0.421
-8.367 2.884 -3.777
-3.268 2.610 -3.618
-3.554 -0.287 0.580
0.000 0.000 0.000
-5.960 1.299 -1.599
-6.163 1.453 2.453
-9.138 3.516 -0.388
-5.629 5.134 -2.888
-2.655 3.071 -0.047
```

Output
The crystal system is tetragonal. Its mass density is 5.55 g/cm3. The polymorph energy (0 for the lowest one) is 164 meV per atom.

# 6
First-principles (GGA-PBE) data for a relaxed SmPuAgPd crystal, as listed in Alexandria via LeMat-Bulk.

POSCAR file:
```
SmPuAgPd
1.0
5.125 0.000 0.000
2.562 4.438 0.000
2.562 1.479 4.184
Pd Ag Sm Pu
1 1 1 1
Cartesian
0.000 0.000 0.000
5.125 2.959 2.092
7.687 4.438 3.138
2.562 1.479 1.046
```

Output
The crystal system is cubic. Its mass density is 10.62 g/cm3. For the formation enthalpy at 0 K, the calculation gives -294 meV per atom.

# 7
First-principles (GGA-PBE) data for a relaxed InHgSe2 crystal, as listed in Alexandria via LeMat-Bulk.

POSCAR file:
```
InHgSe2
1.0
-1.356 -1.281 -2.342
1.588 -5.180 1.915
-4.887 -0.376 3.035
Hg In Se
1 1 2
Cartesian
-1.832 -0.141 1.138
-4.160 -3.560 2.442
-4.276 -0.329 2.656
-1.717 -3.372 0.925
```

Output
The crystal system is orthorhombic. Its mass density is 7.92 g/cm3. The raw total energy comes out at -2.5530 eV per atom.

# 8
First-principles (GGA-PBE) data for a relaxed TlAsIrPbAuCl crystal, as listed in Alexandria via LeMat-Bulk.

POSCAR file:
```
TlAsIrPbAuCl
1.0
-0.636 -2.438 3.160
2.740 -0.069 2.979
-4.512 7.036 7.073
Cl Ir As Pb Tl Au
1 1 1 1 1 1
Cartesian
-2.865 3.573 7.070
-0.612 0.215 5.012
-1.615 1.495 3.218
-1.250 1.363 8.209
-3.485 4.797 10.491
1.517 0.637 3.172
```

Output
The crystal system is triclinic. Its mass density is 9.85 g/cm3. The polymorph energy (0 for the lowest one) is 51 meV per atom.